An optimized crystal structure of Be2SbSe. Source: the Alexandria database, functional PBE-GGA.

The structure in CIF format:
```
data_Be2SbSe
_cell_length_a 4.584
_cell_length_b 4.584
_cell_length_c 3.174
_cell_angle_alpha 90.00
_cell_angle_beta 90.00
_cell_angle_gamma 90.00
_symmetry_space_group_name_H-M 'P 4/m m m'
_symmetry_Int_Tables_number 123
_symmetry_space_group_name_Hall '-P 4 2'
loop_
_atom_site_label
_atom_site_type_symbol
_atom_site_fract_x
_atom_site_fract_y
_atom_site_fract_z
Be1 Be 0.000 0.500 0.000
Sb1 Sb 0.000 0.000 0.500
Se1 Se 0.500 0.500 0.500
```

Calculated total energy   -12.46 eV/cell
Size of the total moment   0.0 Bohr magnetons per cell
Energy relative to the elements, uncorrected   2.6 eV per formula unit
Offset from the most stable computed form   87.0 kJ/mol of atoms

***

An optimized crystal structure of Be2SbSe. Source: the Alexandria database, functional PBE-GGA.

The structure in CIF format:
```
data_Be2SbSe
_cell_length_a 3.610
_cell_length_b 3.610
_cell_length_c 5.987
_cell_angle_alpha 90.00
_cell_angle_beta 90.00
_cell_angle_gamma 90.00
_symmetry_space_group_name_H-M 'P -4 m 2'
_symmetry_Int_Tables_number 115
loop_
_symmetry_equiv_pos_as_xyz
'x,y,z'
'y,-x,-z'
'-x,-y,z'
'-y,x,-z'
'-x,y,z'
'-y,-x,-z'
'x,-y,z'
'y,x,-z'
loop_
_atom_site_label
_atom_site_type_symbol
_atom_site_fract_x
_atom_site_fract_y
_atom_site_fract_z
Be1 Be 0.000 0.500 0.216
Sb1 Sb 0.000 0.000 0.500
Se1 Se 0.500 0.500 0.000
```

Calculated total energy   -16.06 eV/cell
Size of the total moment   0.0 Bohr magnetons per cell
Energy relative to the elements, uncorrected   -1.0 eV per formula unit
Offset from the most stable computed form   0.0 kJ/mol of atoms

***

An optimized crystal structure of BeSbSe. Source: the Alexandria database, functional PBE-GGA.

The structure in CIF format:
```
data_BeSbSe
_cell_length_a 6.597
_cell_length_b 3.809
_cell_length_c 13.455
_cell_angle_alpha 90.00
_cell_angle_beta 99.68
_cell_angle_gamma 90.00
_symmetry_space_group_name_H-M 'C 1 2/m 1'
_symmetry_Int_Tables_number 12
loop_
_symmetry_equiv_pos_as_xyz
'x,y,z'
'-x,-y,-z'
'-x,y,-z'
'x,-y,z'
'x+1/2,y+1/2,z'
'-x+1/2,-y+1/2,-z'
'-x+1/2,y+1/2,-z'
'x+1/2,-y+1/2,z'
loop_
_atom_site_label
_atom_site_type_symbol
_atom_site_fract_x
_atom_site_fract_y
_atom_site_fract_z
Be1 Be 0.146 0.000 0.439
Sb1 Sb 0.144 0.500 0.933
Se1 Se 0.205 0.000 0.613
```

Calculated total energy   -50.17 eV/cell
Size of the total moment   0.0 Bohr magnetons per cell
Energy relative to the elements, uncorrected   -1.2 eV per formula unit
Offset from the most stable computed form   0.0 kJ/mol of atoms

***

An optimized crystal structure of BeSbSe3. Source: the Alexandria database, functional PBE-GGA.

The structure in CIF format:
```
data_BeSbSe3
_cell_length_a 5.285
_cell_length_b 5.285
_cell_length_c 5.285
_cell_angle_alpha 90.00
_cell_angle_beta 90.00
_cell_angle_gamma 90.00
_symmetry_space_group_name_H-M 'P m -3 m'
_symmetry_Int_Tables_number 221
_symmetry_space_group_name_Hall '-P 4 2 3'
loop_
_atom_site_label
_atom_site_type_symbol
_atom_site_fract_x
_atom_site_fract_y
_atom_site_fract_z
Be1 Be 0.000 0.000 0.000
Sb1 Sb 0.500 0.500 0.500
Se1 Se 0.000 0.500 0.500
```

Calculated total energy   -13.75 eV/cell
Size of the total moment   0.0 Bohr magnetons per cell
Energy relative to the elements, uncorrected   4.6 eV per formula unit
Offset from the most stable computed form   74.5 kJ/mol of atoms

***

An optimized crystal structure of BeSbSe2. Source: the Alexandria database, functional PBE-GGA.

The structure in CIF format:
```
data_BeSbSe2
_cell_length_a 3.757
_cell_length_b 3.757
_cell_length_c 14.972
_cell_angle_alpha 90.00
_cell_angle_beta 90.00
_cell_angle_gamma 90.00
_symmetry_space_group_name_H-M 'I -4 m 2'
_symmetry_Int_Tables_number 119
_symmetry_space_group_name_Hall 'I -4 -2'
loop_
_atom_site_label
_atom_site_type_symbol
_atom_site_fract_x
_atom_site_fract_y
_atom_site_fract_z
Be1 Be 0.000 0.000 0.000
Sb1 Sb 0.000 0.500 0.750
Se1 Se 0.000 0.000 0.500
Se2 Se 0.000 0.500 0.250
```

Calculated total energy   -26.38 eV/cell
Size of the total moment   0.0 Bohr magnetons per cell
Energy relative to the elements, uncorrected   1.6 eV per formula unit
Offset from the most stable computed form   63.5 kJ/mol of atoms

***

An optimized crystal structure of Be2SbSe. Source: the Alexandria database, functional PBE-GGA.

The structure in CIF format:
```
data_Be2SbSe
_cell_length_a 3.372
_cell_length_b 3.572
_cell_length_c 6.553
_cell_angle_alpha 90.00
_cell_angle_beta 90.00
_cell_angle_gamma 90.00
_symmetry_space_group_name_H-M 'P m m m'
_symmetry_Int_Tables_number 47
loop_
_symmetry_equiv_pos_as_xyz
'x,y,z'
'-x,-y,-z'
'-x,-y,z'
'x,y,-z'
'x,-y,-z'
'-x,y,z'
'-x,y,-z'
'x,-y,z'
loop_
_atom_site_label
_atom_site_type_symbol
_atom_site_fract_x
_atom_site_fract_y
_atom_site_fract_z
Be1 Be 0.000 0.000 0.000
Be2 Be 0.000 0.500 0.500
Sb1 Sb 0.500 0.000 0.500
Se1 Se 0.500 0.500 0.000
```

Calculated total energy   -13.08 eV/cell
Size of the total moment   0.0 Bohr magnetons per cell
Energy relative to the elements, uncorrected   2.0 eV per formula unit
Offset from the most stable computed form   72.0 kJ/mol of atoms

***

An optimized crystal structure of Be2SbSe. Source: the Alexandria database, functional PBE-GGA.

The structure in CIF format:
```
data_Be2SbSe
_cell_length_a 6.048
_cell_length_b 3.481
_cell_length_c 6.659
_cell_angle_alpha 90.00
_cell_angle_beta 107.77
_cell_angle_gamma 90.00
_symmetry_space_group_name_H-M 'C 1 2/m 1'
_symmetry_Int_Tables_number 12
loop_
_symmetry_equiv_pos_as_xyz
'x,y,z'
'-x,-y,-z'
'-x,y,-z'
'x,-y,z'
'x+1/2,y+1/2,z'
'-x+1/2,-y+1/2,-z'
'-x+1/2,y+1/2,-z'
'x+1/2,-y+1/2,z'
loop_
_atom_site_label
_atom_site_type_symbol
_atom_site_fract_x
_atom_site_fract_y
_atom_site_fract_z
Be1 Be 0.239 0.000 0.216
Sb1 Sb 0.000 0.000 0.500
Se1 Se 0.000 0.500 0.000
```

Calculated total energy   -29.40 eV/cell
Size of the total moment   0.0 Bohr magnetons per cell
Energy relative to the elements, uncorrected   0.4 eV per formula unit
Offset from the most stable computed form   32.9 kJ/mol of atoms

***

An optimized crystal structure of BeSbSe2. Source: the Alexandria database, functional PBE-GGA.

The structure in CIF format:
```
data_BeSbSe2
_cell_length_a 3.510
_cell_length_b 5.882
_cell_length_c 8.641
_cell_angle_alpha 90.00
_cell_angle_beta 90.00
_cell_angle_gamma 90.00
_symmetry_space_group_name_H-M 'I m m 2'
_symmetry_Int_Tables_number 44
loop_
_symmetry_equiv_pos_as_xyz
'x,y,z'
'-x,-y,z'
'-x,y,z'
'x,-y,z'
'x+1/2,y+1/2,z+1/2'
'-x+1/2,-y+1/2,z+1/2'
'-x+1/2,y+1/2,z+1/2'
'x+1/2,-y+1/2,z+1/2'
loop_
_atom_site_label
_atom_site_type_symbol
_atom_site_fract_x
_atom_site_fract_y
_atom_site_fract_z
Be1 Be 0.000 0.000 0.000
Sb1 Sb 0.000 0.500 0.259
Se1 Se 0.000 0.000 0.508
Se2 Se 0.000 0.500 0.645
```

Calculated total energy   -28.07 eV/cell
Size of the total moment   0.0 Bohr magnetons per cell
Energy relative to the elements, uncorrected   0.8 eV per formula unit
Offset from the most stable computed form   43.1 kJ/mol of atoms

***

An optimized crystal structure of BeSbSe3. Source: the Alexandria database, functional PBE-GGA.

The structure in CIF format:
```
data_BeSbSe3
_cell_length_a 4.660
_cell_length_b 4.660
_cell_length_c 4.660
_cell_angle_alpha 90.00
_cell_angle_beta 90.00
_cell_angle_gamma 90.00
_symmetry_space_group_name_H-M 'P m -3 m'
_symmetry_Int_Tables_number 221
_symmetry_space_group_name_Hall '-P 4 2 3'
loop_
_atom_site_label
_atom_site_type_symbol
_atom_site_fract_x
_atom_site_fract_y
_atom_site_fract_z
Be1 Be 0.000 0.000 0.000
Sb1 Sb 0.500 0.500 0.500
Se1 Se 0.000 0.000 0.500
```

Calculated total energy   -17.61 eV/cell
Size of the total moment   0.0 Bohr magnetons per cell
Energy relative to the elements, uncorrected   0.7 eV per formula unit
Offset from the most stable computed form   0.0 kJ/mol of atoms

***

An optimized crystal structure of Be2SbSe. Source: the Alexandria database, functional PBE-GGA.

The structure in CIF format:
```
data_Be2SbSe
_cell_length_a 6.425
_cell_length_b 6.425
_cell_length_c 6.425
_cell_angle_alpha 90.00
_cell_angle_beta 90.00
_cell_angle_gamma 90.00
_symmetry_space_group_name_H-M 'F m -3 m'
_symmetry_Int_Tables_number 225
_symmetry_space_group_name_Hall '-F 4 2 3'
loop_
_atom_site_label
_atom_site_type_symbol
_atom_site_fract_x
_atom_site_fract_y
_atom_site_fract_z
Be1 Be 0.250 0.250 0.250
Sb1 Sb 0.000 0.000 0.000
Se1 Se 0.000 0.000 0.500
```

Calculated total energy   -49.14 eV/cell
Size of the total moment   0.0 Bohr magnetons per cell
Energy relative to the elements, uncorrected   2.8 eV per formula unit
Offset from the most stable computed form   91.1 kJ/mol of atoms

***

An optimized crystal structure of BeSbSe2. Source: the Alexandria database, functional PBE-GGA.

The structure in CIF format:
```
data_BeSbSe2
_cell_length_a 6.851
_cell_length_b 6.851
_cell_length_c 6.851
_cell_angle_alpha 90.00
_cell_angle_beta 90.00
_cell_angle_gamma 90.00
_symmetry_space_group_name_H-M 'F m -3 m'
_symmetry_Int_Tables_number 225
_symmetry_space_group_name_Hall '-F 4 2 3'
loop_
_atom_site_label
_atom_site_type_symbol
_atom_site_fract_x
_atom_site_fract_y
_atom_site_fract_z
Be1 Be 0.000 0.000 0.000
Sb1 Sb 0.000 0.000 0.500
Se1 Se 0.250 0.250 0.250
```

Calculated total energy   -52.54 eV/cell
Size of the total moment   0.0 Bohr magnetons per cell
Energy relative to the elements, uncorrected   1.7 eV per formula unit
Offset from the most stable computed form   64.8 kJ/mol of atoms

***

An optimized crystal structure of Be3SbSe. Source: the Alexandria database, functional PBE-GGA.

The structure in CIF format:
```
data_Be3SbSe
_cell_length_a 4.691
_cell_length_b 4.691
_cell_length_c 4.691
_cell_angle_alpha 90.00
_cell_angle_beta 90.00
_cell_angle_gamma 90.00
_symmetry_space_group_name_H-M 'P m -3 m'
_symmetry_Int_Tables_number 221
_symmetry_space_group_name_Hall '-P 4 2 3'
loop_
_atom_site_label
_atom_site_type_symbol
_atom_site_fract_x
_atom_site_fract_y
_atom_site_fract_z
Be1 Be 0.000 0.000 0.500
Sb1 Sb 0.000 0.000 0.000
Se1 Se 0.500 0.500 0.500
```

Calculated total energy   -13.91 eV/cell
Size of the total moment   0.0 Bohr magnetons per cell
Energy relative to the elements, uncorrected   4.9 eV per formula unit
Offset from the most stable computed form   23.9 kJ/mol of atoms

***

An optimized crystal structure of BeSbSe2. Source: the Alexandria database, functional PBE-GGA.

The structure in CIF format:
```
data_BeSbSe2
_cell_length_a 13.824
_cell_length_b 3.400
_cell_length_c 4.048
_cell_angle_alpha 90.00
_cell_angle_beta 101.90
_cell_angle_gamma 90.00
_symmetry_space_group_name_H-M 'C 1 m 1'
_symmetry_Int_Tables_number 8
loop_
_symmetry_equiv_pos_as_xyz
'x,y,z'
'x,-y,z'
'x+1/2,y+1/2,z'
'x+1/2,-y+1/2,z'
loop_
_atom_site_label
_atom_site_type_symbol
_atom_site_fract_x
_atom_site_fract_y
_atom_site_fract_z
Be1 Be 0.000 0.000 0.000
Sb1 Sb 0.252 0.500 0.495
Se1 Se 0.113 0.500 0.902
Se2 Se 0.413 0.000 0.127
```

Calculated total energy   -30.53 eV/cell
Size of the total moment   0.0 Bohr magnetons per cell
Energy relative to the elements, uncorrected   -0.4 eV per formula unit
Offset from the most stable computed form   13.5 kJ/mol of atoms

***

An optimized crystal structure of Be2SbSe. Source: the Alexandria database, functional PBE-GGA.

The structure in CIF format:
```
data_Be2SbSe
_cell_length_a 3.409
_cell_length_b 3.678
_cell_length_c 7.439
_cell_angle_alpha 90.00
_cell_angle_beta 91.58
_cell_angle_gamma 90.00
_symmetry_space_group_name_H-M 'P 1 m 1'
_symmetry_Int_Tables_number 6
loop_
_symmetry_equiv_pos_as_xyz
'x,y,z'
'x,-y,z'
loop_
_atom_site_label
_atom_site_type_symbol
_atom_site_fract_x
_atom_site_fract_y
_atom_site_fract_z
Be1 Be 0.000 0.000 0.000
Be2 Be 0.498 0.500 0.976
Sb1 Sb 0.014 0.500 0.237
Se1 Se 0.488 0.000 0.803
```

Calculated total energy   -15.90 eV/cell
Size of the total moment   0.0 Bohr magnetons per cell
Energy relative to the elements, uncorrected   -0.8 eV per formula unit
Offset from the most stable computed form   3.9 kJ/mol of atoms

***

An optimized crystal structure of Be3SbSe. Source: the Alexandria database, functional PBE-GGA.

The structure in CIF format:
```
data_Be3SbSe
_cell_length_a 4.417
_cell_length_b 4.417
_cell_length_c 4.417
_cell_angle_alpha 90.00
_cell_angle_beta 90.00
_cell_angle_gamma 90.00
_symmetry_space_group_name_H-M 'P m -3 m'
_symmetry_Int_Tables_number 221
_symmetry_space_group_name_Hall '-P 4 2 3'
loop_
_atom_site_label
_atom_site_type_symbol
_atom_site_fract_x
_atom_site_fract_y
_atom_site_fract_z
Be1 Be 0.000 0.000 0.500
Sb1 Sb 0.500 0.500 0.500
Se1 Se 0.000 0.000 0.000
```

Calculated total energy   -15.15 eV/cell
Size of the total moment   0.0 Bohr magnetons per cell
Energy relative to the elements, uncorrected   3.6 eV per formula unit
Offset from the most stable computed form   0.0 kJ/mol of atoms